PBE InH2O2, relaxed; calculated total energy = -4.808 eV per atom; DOS at the Fermi energy = 1.60 states/eV/f.u.
1.0
5.048 0.000 0.000
0.000 3.737 0.000
0.000 -1.868 3.236
H O In
2 2 1
direct
0.587 0.667 0.333
0.413 0.333 0.667
0.782 0.667 0.333
0.218 0.333 0.667
0.000 0.000 0.000